This record from the Alexandria database describes an optimized crystal structure of NpMoH2O8. The functional is GGA+U.

**Total magnetic moment**: 0.09 μB/atom
**Raw total energy**: -7.01 eV/atom
**Crystal system**: triclinic
**Symmetry**: No. 2

Lattice parameters (Å, degrees): 4.9499 5.1334 6.4664 88.07 82.19 88.57
Last column: nearest neighbours and their distance in Å.
Positions (direct):
H1 0.4518 0.2624 0.8834  1 O 1.00
O1 0.1845 0.8349 0.7573  1 Mo 1.92, 1 Np 2.14
Np1 0.0000 0.0000 0.5000  2 O 1.79
O2 0.8155 0.1651 0.2427  1 Mo 1.92, 1 Np 2.14
O3 0.2388 0.2579 0.4773  1 Np 1.79
Mo1 0.0000 0.0000 0.0000  6 O 1.92-1.95
O4 0.7612 0.7421 0.5227  1 Np 1.79
O5 0.2105 0.8348 0.2045  1 H 1.76, 1 Mo 1.95
O6 0.7895 0.1652 0.7955  1 H 1.76, 1 Mo 1.95
O7 0.7376 0.7189 0.0412  1 H 1.00
H2 0.5482 0.7376 0.1166  1 O 1.00
O8 0.2624 0.2811 0.9588  1 H 1.00